4
Lattice="-2.4038 -1.2585 2.5534 1.1551 -0.6608 3.4800 -3.1000 10.6392 5.0436" Properties=species:S:1:pos:R:3 comment="AcCePm2 (PBE, relaxed)" sg="R3m (160)" dos_at_fermi_per_ev_fu=8.7 delta_e_f_ev_per_atom=0.099 mass_density_g_cm3=7.6 final_energy_ev_per_atom=-4.787 magmom_total_mub_per_atom=0.287 pbc="T T T"
Pm -1.1140 2.2927 2.7996
Pm -2.4047 7.7172 4.2580
Ce -2.1712 4.3469 5.5350
Ac -0.8330 -1.2770 4.0229